[1]
MoOsBr2 | PBE | relaxed

Output
Formation energy without anion corrections: 0.533 eV/atom
Distance to the lowest polymorph of the same formula: 0.358 eV per atom
DFT total energy: -5.82 eV per atom
Calculated density: 7.5 g/cm3

CIF file:
```
data_MoOsBr2
_chemical_formula_sum 'Mo2 Os2 Br4'
_cell_length_a 15.0393
_cell_length_b 3.2455
_cell_length_c 4.0708
_cell_angle_alpha 90.00
_cell_angle_beta 94.21
_cell_angle_gamma 90.00
_space_group_name_H-M_alt 'C 1 2/m 1'
_space_group_IT_number 12
loop_
_space_group_symop_operation_xyz
'x,y,z'
'-x,-y,-z'
'-x,y,-z'
'x,-y,z'
'x+1/2,y+1/2,z'
'-x+1/2,-y+1/2,-z'
'-x+1/2,y+1/2,-z'
'x+1/2,-y+1/2,z'
loop_
_atom_site_label
_atom_site_fract_x
_atom_site_fract_y
_atom_site_fract_z
_atom_site_occupancy
Mo1 0.0000 0.0000 0.0000 1
Os1 0.0000 0.5000 0.5000 1
Br1 0.1450 0.5000 0.2273 1
```

=====

[2]
KYMg6O8 | PBE | relaxed

Output
Formation energy without anion corrections: -2.448 eV/atom
Distance to the lowest polymorph of the same formula: 0.000 eV per atom
DFT total energy: -6.00 eV per atom
Calculated density: 3.6 g/cm3

CIF file:
```
data_KYMg6O8
_chemical_formula_sum 'K1 Y1 Mg6 O8'
_cell_length_a 4.5464
_cell_length_b 4.5464
_cell_length_c 8.9197
_cell_angle_alpha 90.00
_cell_angle_beta 90.00
_cell_angle_gamma 90.00
_space_group_name_H-M_alt 'P 4/m m m'
_space_group_IT_number 123
_space_group_name_Hall '-P 4 2'
loop_
_atom_site_label
_atom_site_fract_x
_atom_site_fract_y
_atom_site_fract_z
_atom_site_occupancy
K1 0.0000 0.0000 0.0000 1
Y1 0.5000 0.5000 0.0000 1
Mg1 0.0000 0.0000 0.5000 1
Mg2 0.0000 0.5000 0.2676 1
Mg3 0.5000 0.5000 0.5000 1
O1 0.0000 0.0000 0.2787 1
O2 0.0000 0.5000 0.0000 1
O3 0.0000 0.5000 0.5000 1
O4 0.5000 0.5000 0.2614 1
```

=====

[3]
MgCd8Ga2 | PBE | relaxed

Output
DFT total energy: -1.29 eV per atom
Formation enthalpy at 0 K: 0.073 eV per atom
Calculated density: 6.8 g/cm3

CIF file:
```
data_MgCd8Ga2
_chemical_formula_sum 'Mg2 Cd16 Ga4'
_cell_length_a 12.6764
_cell_length_b 8.0199
_cell_length_c 5.1790
_cell_angle_alpha 90.00
_cell_angle_beta 99.66
_cell_angle_gamma 90.00
_space_group_name_H-M_alt 'C 1 2/m 1'
_space_group_IT_number 12
loop_
_space_group_symop_operation_xyz
'x,y,z'
'-x,-y,-z'
'-x,y,-z'
'x,-y,z'
'x+1/2,y+1/2,z'
'-x+1/2,-y+1/2,-z'
'-x+1/2,y+1/2,-z'
'x+1/2,-y+1/2,z'
loop_
_atom_site_label
_atom_site_fract_x
_atom_site_fract_y
_atom_site_fract_z
_atom_site_occupancy
Mg1 0.0000 0.0000 0.0000 1
Cd1 0.0577 0.5000 0.7647 1
Cd2 0.1184 0.0000 0.5734 1
Cd3 0.1527 0.3100 0.2832 1
Ga1 0.2256 0.0000 0.1012 1
```

=====

[4]
SrCr2Pt | PBE | relaxed

Output
DFT total energy: -6.54 eV per atom
Formation enthalpy at 0 K: 0.202 eV per atom
Calculated density: 8.1 g/cm3

CIF file:
```
data_SrCr2Pt
_chemical_formula_sum 'Sr1 Cr2 Pt1'
_cell_length_a 3.2696
_cell_length_b 3.3637
_cell_length_c 7.2205
_cell_angle_alpha 90.00
_cell_angle_beta 90.00
_cell_angle_gamma 90.00
_space_group_name_H-M_alt 'P m m 2'
_space_group_IT_number 25
loop_
_space_group_symop_operation_xyz
'x,y,z'
'-x,-y,z'
'-x,y,z'
'x,-y,z'
loop_
_atom_site_label
_atom_site_fract_x
_atom_site_fract_y
_atom_site_fract_z
_atom_site_occupancy
Sr1 0.0000 0.0000 0.0000 1
Cr1 0.0000 0.0000 0.4946 1
Cr2 0.5000 0.5000 0.6498 1
Pt1 0.5000 0.5000 0.2779 1
```

=====

[5]
HoMg2Au | PBE | relaxed

Output
DFT total energy: -3.20 eV per atom
Formation enthalpy at 0 K: -0.434 eV per atom
Calculated density: 7.9 g/cm3

CIF file:
```
data_HoMg2Au
_chemical_formula_sum 'Ho4 Mg8 Au4'
_cell_length_a 7.0100
_cell_length_b 7.0100
_cell_length_c 7.0100
_cell_angle_alpha 90.00
_cell_angle_beta 90.00
_cell_angle_gamma 90.00
_space_group_name_H-M_alt 'F -4 3 m'
_space_group_IT_number 216
_space_group_name_Hall 'F -4 2 3'
loop_
_atom_site_label
_atom_site_fract_x
_atom_site_fract_y
_atom_site_fract_z
_atom_site_occupancy
Ho1 0.0000 0.0000 0.0000 1
Mg1 0.0000 0.0000 0.5000 1
Mg2 0.2500 0.2500 0.7500 1
Au1 0.2500 0.2500 0.2500 1
```

=====

[6]
TiNbRu2Pt | PBE | relaxed

Output
DFT total energy: -7.22 eV per atom
Formation enthalpy at 0 K: 1.293 eV per atom
Calculated density: 9.0 g/cm3

CIF file:
```
data_TiNbRu2Pt
_chemical_formula_sum 'Ti1 Nb1 Ru2 Pt1'
_cell_length_a 4.6088
_cell_length_b 4.6088
_cell_length_c 4.6733
_cell_angle_alpha 90.00
_cell_angle_beta 90.00
_cell_angle_gamma 90.00
_space_group_name_H-M_alt 'P 4/m m m'
_space_group_IT_number 123
_space_group_name_Hall '-P 4 2'
loop_
_atom_site_label
_atom_site_fract_x
_atom_site_fract_y
_atom_site_fract_z
_atom_site_occupancy
Ti1 0.0000 0.0000 0.0000 1
Nb1 0.0000 0.0000 0.5000 1
Ru1 0.0000 0.5000 0.5000 1
Pt1 0.5000 0.5000 0.0000 1
```